1.
DFT (GGA-PBE) results for a geometry-optimized AlCu3Si2 structure.

Properties
The calculation puts the raw total energy at -4.4257 eV per atom. As for the uncorrected formation energy: 1.24 kcal/mol of atoms. Its symmetry is Cmmm. Its density is 5.759 Mg/m³. The calculation puts the density of states at the Fermi level at 0.391 states/eV per atom.

POSCAR file:
```
AlCu3Si2
1.0
1.827 -5.723 0.000
1.827 5.723 0.000
0.000 0.000 3.776
Al Cu Si
1 3 2
Direct
0.000 0.000 0.000
0.333 0.667 0.000
0.500 0.500 0.500
0.667 0.333 0.000
0.165 0.835 0.500
0.835 0.165 0.500
```

=====

2.
DFT (GGA-PBE) results for a geometry-optimized Al2CuSi4 structure.

Properties
The calculation puts the raw total energy at -4.3696 eV per atom. As for the uncorrected formation energy: 8.85 kcal/mol of atoms. Its symmetry is P-3m1. Its density is 2.918 Mg/m³. The calculation puts the density of states at the Fermi level at 0.429 states/eV per atom.

POSCAR file:
```
Al2CuSi4
1.0
3.526 0.000 0.000
-1.763 3.053 0.000
0.000 0.000 24.305
Al Cu Si
4 2 8
Direct
0.000 0.000 0.237
0.000 0.000 0.763
0.333 0.667 0.406
0.667 0.333 0.594
0.333 0.667 0.923
0.667 0.333 0.077
0.333 0.667 0.025
0.333 0.667 0.304
0.333 0.667 0.527
0.333 0.667 0.830
0.667 0.333 0.170
0.667 0.333 0.473
0.667 0.333 0.696
0.667 0.333 0.975
```

=====

3.
DFT (GGA-PBE) results for a geometry-optimized Al3Cu3Si structure.

Properties
The calculation puts the raw total energy at -3.9978 eV per atom. As for the uncorrected formation energy: 3.15 kcal/mol of atoms. Its symmetry is Pmmn. Its density is 4.641 Mg/m³. The calculation puts the density of states at the Fermi level at 0.430 states/eV per atom.

POSCAR file:
```
Al3Cu3Si
1.0
3.874 0.000 0.000
0.000 6.923 0.000
0.000 0.000 7.996
Al Cu Si
6 6 2
Direct
0.250 0.047 0.110
0.250 0.250 0.523
0.250 0.453 0.110
0.750 0.547 0.890
0.750 0.750 0.477
0.750 0.953 0.890
0.250 0.250 0.843
0.250 0.566 0.392
0.250 0.934 0.392
0.750 0.066 0.608
0.750 0.434 0.608
0.750 0.750 0.157
0.250 0.750 0.697
0.750 0.250 0.303
```

=====

4.
DFT (GGA-PBE) results for a geometry-optimized AlCu2Si structure.

Properties
The calculation puts the raw total energy at -4.2684 eV per atom. As for the uncorrected formation energy: 1.64 kcal/mol of atoms. Its symmetry is P3m1. Its density is 5.485 Mg/m³. The calculation puts the density of states at the Fermi level at 0.238 states/eV per atom.

POSCAR file:
```
AlCu2Si
1.0
2.733 0.000 0.000
-1.367 2.367 0.000
0.000 0.000 8.524
Al Cu Si
1 2 1
Direct
0.000 0.000 0.000
0.333 0.667 0.753
0.667 0.333 0.239
0.667 0.333 0.520
```

=====

5.
DFT (GGA-PBE) results for a geometry-optimized Al3Cu2Si3 structure.

Properties
The calculation puts the raw total energy at -4.3355 eV per atom. As for the uncorrected formation energy: 2.90 kcal/mol of atoms. Its symmetry is P-62m. Its density is 4.146 Mg/m³. The calculation puts the density of states at the Fermi level at 0.330 states/eV per atom.

POSCAR file:
```
Al3Cu2Si3
1.0
7.029 0.000 0.000
-3.515 6.087 0.000
0.000 0.000 2.736
Al Cu Si
3 2 3
Direct
0.000 0.394 0.000
0.394 0.000 0.000
0.606 0.606 0.000
0.333 0.667 0.500
0.667 0.333 0.500
0.000 0.787 0.500
0.213 0.213 0.500
0.787 0.000 0.500
```

=====

6.
DFT (GGA-PBE) results for a geometry-optimized AlCuSi2 structure.

Properties
The calculation puts the raw total energy at -4.4779 eV per atom. As for the uncorrected formation energy: 4.46 kcal/mol of atoms. Its symmetry is Pm. Its density is 4.123 Mg/m³. The calculation puts the density of states at the Fermi level at 0.392 states/eV per atom.

POSCAR file:
```
AlCuSi2
1.0
2.631 0.000 0.000
0.000 3.933 0.000
-0.267 0.000 5.708
Al Cu Si
1 1 2
Direct
0.000 0.000 0.000
0.524 0.500 0.177
0.523 0.000 0.443
0.525 0.500 0.721
```

=====

Copy entry 3 word for word.
DFT (GGA-PBE) results for a geometry-optimized Al3Cu3Si structure.

Properties
The calculation puts the raw total energy at -3.9978 eV per atom. As for the uncorrected formation energy: 3.15 kcal/mol of atoms. Its symmetry is Pmmn. Its density is 4.641 Mg/m³. The calculation puts the density of states at the Fermi level at 0.430 states/eV per atom.

POSCAR file:
```
Al3Cu3Si
1.0
3.874 0.000 0.000
0.000 6.923 0.000
0.000 0.000 7.996
Al Cu Si
6 6 2
Direct
0.250 0.047 0.110
0.250 0.250 0.523
0.250 0.453 0.110
0.750 0.547 0.890
0.750 0.750 0.477
0.750 0.953 0.890
0.250 0.250 0.843
0.250 0.566 0.392
0.250 0.934 0.392
0.750 0.066 0.608
0.750 0.434 0.608
0.750 0.750 0.157
0.250 0.750 0.697
0.750 0.250 0.303
```